The following is a DFT calculation (PBE-GGA) of LaCuN3 after structural relaxation.

Calculated values
* uncorrected formation energy: 1.8164 eV/atom
* magnetization: 0.00 μB/cell
* DFT total energy: -4.98 eV per atom
* crystal system: cubic
* symmetry: Pm-3m, No. 221

```
LaCuN3
1.0
4.271 0.000 0.000
0.000 4.271 0.000
0.000 0.000 4.271
La Cu N
1 1 3
direct
0.000 0.000 0.000
0.500 0.500 0.500
0.000 0.000 0.500
0.000 0.500 0.000
0.500 0.000 0.000
```